Record 1
# La2Tb4PrDy

A relaxed structure of La2Tb4PrDy (PBE, Alexandria via LeMat-Bulk).

Output
E_form (eV per atom): 0.0278
SG: P2/m (10)

Lattice parameters (Å, degrees): 6.3261 3.6587 11.5836 90.00 100.79 90.00
Positions (direct):
La (0.0000, 0.0000, 0.0000)
La (0.0000, 0.5000, 0.5000)
Tb (0.2510, 0.0000, 0.7489)
Tb (0.2514, 0.5000, 0.2520)
Tb (0.7490, 0.0000, 0.2511)
Tb (0.7486, 0.5000, 0.7480)
Pr (0.5000, 0.5000, 0.0000)
Dy (0.5000, 0.0000, 0.5000)

---

Record 2
# KHo3Se4O12

A relaxed structure of KHo3Se4O12 (PBE, Alexandria via LeMat-Bulk).

Output
ΔE_f (raw) (eV/atom): -1.62
SG: R32 (155)

Lattice parameters (Å, degrees): 7.5952 7.5952 7.5952 107.34 107.34 107.34
Positions (direct):
K (0.0000, 0.0000, 0.0000)
Ho (0.0000, 0.5664, 0.4336)
Ho (0.4336, 0.0000, 0.5664)
Ho (0.5664, 0.4336, 0.0000)
Se (0.0655, 0.5000, 0.9345)
Se (0.5000, 0.5000, 0.5000)
Se (0.5000, 0.9345, 0.0655)
Se (0.9345, 0.0655, 0.5000)
O (0.0778, 0.6264, 0.7784)
O (0.1164, 0.8836, 0.5000)
O (0.2216, 0.3736, 0.9222)
O (0.3439, 0.6561, 0.5000)
O (0.3736, 0.9222, 0.2216)
O (0.5000, 0.1164, 0.8836)
O (0.5000, 0.3439, 0.6561)
O (0.6264, 0.7784, 0.0778)
O (0.6561, 0.5000, 0.3439)
O (0.7784, 0.0778, 0.6264)
O (0.8836, 0.5000, 0.1164)
O (0.9222, 0.2216, 0.3736)

---

Record 3
# TcMoOs

A relaxed structure of TcMoOs (PBE, Alexandria via LeMat-Bulk).

Output
E_form (eV per atom): 0.1612
ΔE to the lowest computed polymorph (eV per formula unit): 0.319
SG: P-6m2 (187)

Lattice parameters (Å, degrees): 4.3636 4.3636 2.7308 90.00 90.00 120.00
Positions (direct):
Tc (0.0000, 0.0000, 0.0000)
Mo (0.6667, 0.3333, 0.0000)
Os (0.3333, 0.6667, 0.5000)

---

Record 4
# Pr8Ga3HI4

A relaxed structure of Pr8Ga3HI4 (PBE, Alexandria via LeMat-Bulk).

Output
SG: C2/m (12)
DFT total energy (eV per formula unit): -68.1

Lattice parameters (Å, degrees): 8.6127 8.6127 9.1884 117.99 117.99 59.94
Positions (direct):
Pr (0.2304, 0.7420, 0.7028)
Pr (0.2312, 0.2312, 0.7037)
Pr (0.2580, 0.7696, 0.2972)
Pr (0.2624, 0.2624, 0.2869)
Pr (0.7376, 0.7376, 0.7131)
Pr (0.7420, 0.2304, 0.7028)
Pr (0.7688, 0.7688, 0.2963)
Pr (0.7696, 0.2580, 0.2972)
Ga (0.0000, 0.5000, 0.5000)
Ga (0.5000, 0.0000, 0.5000)
Ga (0.5000, 0.5000, 0.5000)
H (0.0000, 0.0000, 0.5000)
I (0.0000, 0.0000, 0.0000)
I (0.0000, 0.5000, 0.0000)
I (0.5000, 0.0000, 0.0000)
I (0.5000, 0.5000, 0.0000)

---

Record 5
# KFeNi2

A relaxed structure of KFeNi2 (PBE, Alexandria via LeMat-Bulk).

Output
E_form (eV per atom): 0.8343
ΔE to the lowest computed polymorph (eV per formula unit): 1.574
SG: I4_1/amd (141)

Lattice parameters (Å, degrees): 8.5807 8.5807 8.5807 147.21 147.21 47.05
Positions (direct):
K (0.3750, 0.6250, 0.7500)
K (0.6250, 0.3750, 0.2500)
Fe (0.1250, 0.8750, 0.2500)
Fe (0.8750, 0.1250, 0.7500)
Ni (0.0000, 0.0000, 0.0000)
Ni (0.0000, 0.0000, 0.5000)
Ni (0.0000, 0.5000, 0.0000)
Ni (0.5000, 0.0000, 0.5000)

---

| no. | magnetization (μB/f.u.) |
| --- | --- |
| 1 | 0.00 |
| 2 | 0.88 |
| 3 | 0.00 |
| 4 | 0.01 |
| 5 | 4.41 |